(1)
The following is a DFT calculation (GGA-PBEsol) of CrPtC2 after structural relaxation.

Cell lengths 4.529, 4.529, 8.876 Å; angles 90.00, 90.00, 90.00 degrees
Space group I-42d (No. 122)
Unique sites:
Cr (0.000, 0.000, 0.000) [4 per cell]
Pt (0.000, 0.000, 0.500) [4 per cell]
C (0.221, 0.250, 0.125) [8 per cell]

## Properties
total magnetization: 0.000 μB/atom
total DFT energy (no corrections): -8.4757 eV/atom
V: 182.1 Å³ per cell

***

(2)
The following is a DFT calculation (GGA-PBEsol) of TaSb2Cl after structural relaxation.

Cell lengths 10.253, 3.248, 7.156 Å; angles 90.00, 119.29, 90.00 degrees
Space group Cm (No. 8)
Unique sites:
Ta (0.000, 0.000, 0.000) [2 per cell]
Sb (0.012, 0.500, 0.337) [2 per cell]
Sb (0.225, 0.500, 0.016) [2 per cell]
Cl (0.356, 0.000, 0.711) [2 per cell]

## Properties
total magnetization: 0.000 μB/atom
total DFT energy (no corrections): -6.0905 eV/atom
V: 207.8 Å³ per cell
polymorph energy (0 for the lowest one): 0 meV per atom

***

(3)
The following is a DFT calculation (GGA-PBEsol) of CdCuAg after structural relaxation.

Cell lengths 2.955, 2.955, 10.872 Å; angles 90.00, 90.00, 90.00 degrees
Space group I4mm (No. 107)
Unique sites:
Cd (0.000, 0.000, 0.000) [2 per cell]
Cu (0.000, 0.000, 0.339) [2 per cell]
Ag (0.000, 0.000, 0.688) [2 per cell]

## Properties
total magnetization: 0.000 μB/atom
total DFT energy (no corrections): -2.9130 eV/atom
V: 95.0 Å³ per cell

***

(4)
The following is a DFT calculation (GGA-PBEsol) of MgSc2 after structural relaxation.

Cell lengths 8.7761, 8.7761, 3.1341 Å; angles 90.00, 90.00, 120.00 degrees
Space group P-62m (No. 189)
Unique sites:
Mg (0.0000, 0.0000, 0.0000) [1 per cell]
Mg (0.3333, 0.6667, 0.5000) [2 per cell]
Sc (0.0000, 0.3040, 0.5000) [3 per cell]
Sc (0.0000, 0.6355, 0.0000) [3 per cell]

## Properties
total magnetization: 0.000 μB/atom
total DFT energy (no corrections): -4.9246 eV/atom
V: 209.1 Å³ per cell

***

(5)
The following is a DFT calculation (GGA-PBEsol) of NbGeF2 after structural relaxation.

Cell lengths 2.7974, 2.7974, 30.1893 Å; angles 90.00, 90.00, 120.00 degrees
Space group R-3m (No. 166, hexagonal axes)
Unique sites:
Nb (0.0000, 0.0000, 0.0000) [3 per cell]
Ge (0.0000, 0.0000, 0.5000) [3 per cell]
F (0.0000, 0.0000, 0.3832) [6 per cell]

## Properties
total magnetization: 0.000 μB/atom
total DFT energy (no corrections): -6.3518 eV/atom
V: 204.6 Å³ per cell
polymorph energy (0 for the lowest one): 0 meV per atom

***

(6)
The following is a DFT calculation (GGA-PBEsol) of TlCrTc after structural relaxation.

Cell lengths 6.217, 6.217, 6.217 Å; angles 90.00, 90.00, 90.00 degrees
Space group F-43m (No. 216)
Unique sites:
Tl (0.000, 0.000, 0.000) [4 per cell]
Cr (0.250, 0.250, 0.250) [4 per cell]
Tc (0.250, 0.250, 0.750) [4 per cell]

## Properties
total magnetization: 0.705 μB/atom
total DFT energy (no corrections): -6.6215 eV/atom
V: 240.3 Å³ per cell
polymorph energy (0 for the lowest one): 843 meV per atom